A geometry-optimized Pm3DyGa4 structure. Source: Alexandria via LeMat-Bulk, functional PBE.

Computed properties:
total DFT energy (no corrections) = -4.45 eV/atom
energy of formation = -0.5763 eV/atom
M_tot = 0.0 μB/cell

The structure in POSCAR format:
```
Pm3DyGa4
1.0
-1.352 -2.451 2.332
2.347 1.129 2.548
-9.760 9.805 4.643
Dy Pm Ga
1 3 4
direct
0.500 0.500 0.000 Dy
0.500 0.500 0.246 Pm
0.500 0.500 0.500 Pm
0.500 0.500 0.754 Pm
0.000 0.000 0.117 Ga
0.000 0.000 0.373 Ga
0.000 0.000 0.627 Ga
0.000 0.000 0.883 Ga
```